[1]
PmGdCuAs PBE relaxed; electronic total energy = -7.507 eV/atom; crystal system = cubic; space-group type = F-43m; spin magnetization = 7.7 Bohr magnetons per cell
1.0
-2.3352 -4.3800 -0.9416
0.1954 -3.7455 3.3849
-4.1381 -1.2678 2.6064
As Cu Pm Gd
1 1 1 1
Direct
0.7500 0.7500 0.7500
0.2500 0.2500 0.2500
0.5000 0.5000 0.5000
0.0000 0.0000 0.0000

[2]
Nd2ErTmTl4 PBE relaxed; electronic total energy = -3.847 eV/atom; crystal system = trigonal; space-group type = R-3m; spin magnetization = 0.0 Bohr magnetons per cell
1.0
5.4207 0.0000 0.0000
2.7104 4.6945 0.0000
2.7104 1.5648 8.8765
Er Tm Tl Nd
1 1 4 2
Direct
0.0000 0.0000 0.0000
0.5000 0.5000 0.5000
0.8748 0.8748 0.3755
0.3751 0.3751 0.8747
0.1252 0.1252 0.6245
0.6249 0.6249 0.1253
0.7501 0.7501 0.7496
0.2499 0.2499 0.2504

[3]
NdDy5Sc3 PBE relaxed; electronic total energy = -4.631 eV/atom; crystal system = monoclinic; space-group type = C2/m; spin magnetization = 0.0 Bohr magnetons per cell
1.0
8.5541 -0.2456 1.2791
2.1055 8.2945 1.2791
4.6529 3.5134 9.7609
Dy Sc Nd
10 6 2
Direct
0.0986 0.6293 0.7369
0.9014 0.3707 0.2631
0.5603 0.5603 0.5927
0.2796 0.7204 0.0000
0.6875 0.6875 0.0118
0.3707 0.9014 0.2631
0.6293 0.0986 0.7369
0.4397 0.4397 0.4073
0.3125 0.3125 0.9882
0.7204 0.2796 0.0000
0.6878 0.6878 0.7407
0.3122 0.3122 0.2593
0.0000 0.0000 0.0000
0.2642 0.2642 0.7632
0.0000 0.0000 0.5000
0.7358 0.7358 0.2368
0.0955 0.0955 0.6692
0.9045 0.9045 0.3308